Below is a geometry-optimized Tm3Ga8Ni3 structure, with properties calculated at the GGA-PBE level.

abc: 7.9230 7.9230 9.0598
angles: 124.20 124.20 30.86
Positions (direct):
Tm 0.0000 0.0000 0.0000
Tm 0.2894 0.2894 0.2873
Tm 0.7106 0.7106 0.7127
Ga 0.1391 0.1391 0.4313
Ga 0.1512 0.1512 0.8729
Ga 0.3493 0.3493 0.7291
Ga 0.4943 0.4943 0.3224
Ga 0.5057 0.5057 0.6776
Ga 0.6507 0.6507 0.2709
Ga 0.8488 0.8488 0.1271
Ga 0.8609 0.8609 0.5687
Ni 0.0000 0.0000 0.5000
Ni 0.3503 0.3503 0.9942
Ni 0.6497 0.6497 0.0058

Computed properties:
Formation energy (meV per atom): -554
E (eV/atom): -4.4808
Symmetry: C2/m, No. 12

***

Below is a geometry-optimized Tm3GaNi structure, with properties calculated at the GGA-PBE level.

abc: 4.4971 6.5873 8.0143
angles: 90.00 90.00 90.00
Positions (direct):
Tm 0.2500 0.0014 0.1639
Tm 0.2500 0.2500 0.5597
Tm 0.2500 0.4986 0.1639
Tm 0.7500 0.5014 0.8361
Tm 0.7500 0.7500 0.4403
Tm 0.7500 0.9986 0.8361
Ga 0.2500 0.7500 0.6764
Ga 0.7500 0.2500 0.3236
Ni 0.2500 0.2500 0.8940
Ni 0.7500 0.7500 0.1060

Computed properties:
Formation energy (meV per atom): -363
E (eV/atom): -4.8072
Symmetry: Pmmn, No. 59

***

Below is a geometry-optimized Tm2Ga6Ni structure, with properties calculated at the GGA-PBE level.

abc: 3.6286 11.7190 11.7190
angles: 20.37 90.00 90.00
Positions (direct):
Tm 0.0000 0.0000 0.0000
Tm 0.0000 0.3299 0.3299
Ga 0.0000 0.6181 0.6181
Ga 0.0000 0.7327 0.7327
Ga 0.5000 0.1091 0.1091
Ga 0.5000 0.2202 0.2202
Ga 0.5000 0.4420 0.4420
Ga 0.5000 0.8787 0.8787
Ni 0.5000 0.5459 0.5459

Computed properties:
Formation energy (meV per atom): -397
E (eV/atom): -4.0512
Symmetry: Amm2, No. 38

***

Below is a geometry-optimized Tm5GaNi2 structure, with properties calculated at the GGA-PBE level.

abc: 8.3611 8.3611 8.3611
angles: 127.00 127.00 78.25
Positions (direct):
Tm 0.0000 0.0000 0.0000
Tm 0.0227 0.5227 0.8242
Tm 0.1985 0.0227 0.5000
Tm 0.3015 0.8015 0.8242
Tm 0.4773 0.3015 0.5000
Tm 0.5000 0.5000 0.0000
Tm 0.5227 0.6985 0.5000
Tm 0.6985 0.1985 0.1758
Tm 0.8015 0.9773 0.5000
Tm 0.9773 0.4773 0.1758
Ga 0.2500 0.2500 0.0000
Ga 0.7500 0.7500 0.0000
Ni 0.1266 0.3734 0.5000
Ni 0.3734 0.8734 0.2468
Ni 0.6266 0.1266 0.7532
Ni 0.8734 0.6266 0.5000

Computed properties:
Formation energy (meV per atom): -419
E (eV/atom): -5.0379
Symmetry: I4/mcm, No. 140

***

Below is a geometry-optimized TmGa2Ni9 structure, with properties calculated at the GGA-PBE level.

abc: 8.0143 8.0143 4.7487
angles: 90.00 90.00 90.00
Positions (direct):
Tm 0.0000 0.0000 0.0000
Tm 0.5000 0.5000 0.0000
Ga 0.1225 0.3775 0.0000
Ga 0.3775 0.8775 0.0000
Ga 0.6225 0.1225 0.0000
Ga 0.8775 0.6225 0.0000
Ni 0.0000 0.5000 0.5000
Ni 0.0640 0.2074 0.5000
Ni 0.1775 0.6775 0.2404
Ni 0.1775 0.6775 0.7596
Ni 0.2074 0.9360 0.5000
Ni 0.2926 0.4360 0.5000
Ni 0.3225 0.1775 0.2404
Ni 0.3225 0.1775 0.7596
Ni 0.4360 0.7074 0.5000
Ni 0.5000 0.0000 0.5000
Ni 0.5640 0.2926 0.5000
Ni 0.6775 0.8225 0.2404
Ni 0.6775 0.8225 0.7596
Ni 0.7074 0.5640 0.5000
Ni 0.7926 0.0640 0.5000
Ni 0.8225 0.3225 0.2404
Ni 0.8225 0.3225 0.7596
Ni 0.9360 0.7926 0.5000

Computed properties:
Formation energy (meV per atom): -288
E (eV/atom): -5.5014
Symmetry: P4/mbm, No. 127

***

Below is a geometry-optimized Tm2Ga5Ni3 structure, with properties calculated at the GGA-PBE level.

abc: 8.3215 8.3215 8.3215
angles: 108.31 84.31 141.71
Positions (direct):
Tm 0.1471 0.2212 0.3683
Tm 0.3529 0.7212 0.0742
Tm 0.6471 0.2788 0.9258
Tm 0.8529 0.7788 0.6317
Ga 0.0441 0.7500 0.2941
Ga 0.0857 0.6774 0.7631
Ga 0.2500 0.2500 0.0000
Ga 0.4143 0.1774 0.5917
Ga 0.4559 0.7500 0.7059
Ga 0.5441 0.2500 0.2941
Ga 0.5857 0.8226 0.4083
Ga 0.7500 0.7500 0.0000
Ga 0.9143 0.3226 0.2369
Ga 0.9559 0.2500 0.7059
Ni 0.1469 0.9102 0.0570
Ni 0.2500 0.7500 0.5000
Ni 0.3531 0.4102 0.7633
Ni 0.6469 0.5898 0.2367
Ni 0.7500 0.2500 0.5000
Ni 0.8531 0.0898 0.9430

Computed properties:
Formation energy (meV per atom): -598
E (eV/atom): -4.7406
Symmetry: Ibam, No. 72

***

Below is a geometry-optimized Tm2Ga5Ni3 structure, with properties calculated at the GGA-PBE level.

abc: 12.2058 12.2058 6.5166
angles: 90.00 90.00 160.43
Positions (direct):
Tm 0.0190 0.9810 0.5000
Tm 0.3261 0.6739 0.4634
Tm 0.6739 0.3261 0.9634
Tm 0.9810 0.0190 0.0000
Ga 0.1000 0.9000 0.1509
Ga 0.2062 0.7938 0.6582
Ga 0.2108 0.7892 0.2548
Ga 0.3751 0.6249 0.9911
Ga 0.4476 0.5524 0.3198
Ga 0.5524 0.4476 0.8198
Ga 0.6249 0.3751 0.4911
Ga 0.7892 0.2108 0.7548
Ga 0.7938 0.2062 0.1582
Ga 0.9000 0.1000 0.6509
Ni 0.1072 0.8928 0.7641
Ni 0.2733 0.7267 0.9537
Ni 0.4503 0.5497 0.7147
Ni 0.5497 0.4503 0.2147
Ni 0.7267 0.2733 0.4537
Ni 0.8928 0.1072 0.2641

Computed properties:
Formation energy (meV per atom): -575
E (eV/atom): -4.7173
Symmetry: Cmc2_1, No. 36

***

Below is a geometry-optimized TmGa6Ni structure, with properties calculated at the GGA-PBE level.

abc: 5.5707 5.5707 5.5707
angles: 105.22 105.22 105.22
Positions (direct):
Tm 0.0000 0.0000 0.0000
Ga 0.2137 0.2137 0.6367
Ga 0.2137 0.6367 0.2137
Ga 0.3633 0.7863 0.7863
Ga 0.6367 0.2137 0.2137
Ga 0.7863 0.3633 0.7863
Ga 0.7863 0.7863 0.3633
Ni 0.5000 0.5000 0.5000

Computed properties:
Formation energy (meV per atom): -303
E (eV/atom): -3.8545
Symmetry: R-3m, No. 166